First-principles (GGA-PBE) data for a relaxed LiMnAl2 crystal, as listed in Alexandria via LeMat-Bulk.

Computed properties:
Its energy relative to the elements is -0.104 eV/atom. The total moment is 1.50 μB/f.u.

```
LiMnAl2
1.0
2.891 0.000 0.000
0.000 4.233 0.000
0.000 0.000 8.824
Li Mn Al
2 2 4
direct
0.000 0.000 0.000 Li
0.500 0.500 0.500 Li
0.000 0.500 0.743 Mn
0.500 0.000 0.243 Mn
0.000 0.000 0.477 Al
0.000 0.500 0.242 Al
0.500 0.000 0.742 Al
0.500 0.500 0.977 Al
```